(1)
The following is a PBE-GGA calculation of a relaxed structure of Nd2GaS4, from Alexandria via LeMat-Bulk.

The space group is P2_1/m (No. 11) and the conventional cell measures 6.603, 6.495 and 7.779 Å, with angles of 90.00, 107.08 and 90.00 degrees. The distinct sites, in fractional coordinates, are Nd at (0.237, 0.250, 0.054), Nd at (0.239, 0.250, 0.564), Ga at (0.259, 0.750, 0.315), S at (0.007, 0.005, 0.253), S at (0.419, 0.750, 0.089) and S at (0.425, 0.750, 0.621).

Its total DFT energy (no corrections) is -5.604 eV per atom. Its formation energy (no corrections) is -1.451 eV/atom. The calculated density comes out at 5.07 g/cm³.


(2)
The following is a PBE-GGA calculation of a relaxed structure of Nd5GaS4, from Alexandria via LeMat-Bulk.

The space group is I4/m (No. 87) and the conventional cell measures 9.240, 9.240 and 5.812 Å, with angles of 90.00, 90.00 and 90.00 degrees. The distinct sites, in fractional coordinates, are Nd at (0.000, 0.000, 0.000), Nd at (0.101, 0.696, 0.500), Ga at (0.000, 0.000, 0.500) and S at (0.101, 0.699, 0.000).

Its total DFT energy (no corrections) is -6.088 eV per atom. Its formation energy (no corrections) is -1.751 eV/atom. The calculated density comes out at 6.15 g/cm³.


(3)
The following is a PBE-GGA calculation of a relaxed structure of Nd6GaS4, from Alexandria via LeMat-Bulk.

The space group is Cmcm (No. 63) and the conventional cell measures 4.050, 13.584 and 20.779 Å, with angles of 90.00, 90.00 and 90.00 degrees. The distinct sites, in fractional coordinates, are Nd at (0.000, 0.000, 0.000), Nd at (0.000, 0.169, 0.250), Nd at (0.000, 0.273, 0.582), Nd at (0.000, 0.454, 0.162), Ga at (0.000, 0.164, 0.750), S at (0.000, 0.092, 0.124) and S at (0.000, 0.363, 0.041).

Its total DFT energy (no corrections) is -5.965 eV per atom. Its formation energy (no corrections) is -1.588 eV/atom. The calculated density comes out at 6.18 g/cm³.


(4)
The following is a PBE-GGA calculation of a relaxed structure of NdGa6S8, from Alexandria via LeMat-Bulk.

The space group is R-3 (No. 148, hexagonal axes) and the conventional cell measures 10.0321, 10.0321 and 11.0496 Å, with angles of 90.00, 90.00 and 120.00 degrees. The distinct sites, in fractional coordinates, are Nd at (0.0000, 0.0000, 0.0000), Ga at (0.0737, 0.2172, 0.5987), S at (0.0000, 0.0000, 0.2695) and S at (0.0066, 0.7144, 0.9203).

Its total DFT energy (no corrections) is -4.285 eV per atom. Its formation energy (no corrections) is -0.556 eV/atom. The calculated density comes out at 4.24 g/cm³.


(5)
The following is a PBE-GGA calculation of a relaxed structure of NdGaS3, from Alexandria via LeMat-Bulk.

The space group is C2/m (No. 12) and the conventional cell measures 12.355, 8.765 and 4.229 Å, with angles of 90.00, 91.08 and 90.00 degrees. The distinct sites, in fractional coordinates, are Nd at (0.234, 0.000, 0.254), Ga at (0.000, 0.311, 0.500), S at (0.101, 0.500, 0.247) and S at (0.142, 0.196, 0.748).

Its total DFT energy (no corrections) is -5.351 eV per atom. Its excess energy over the best structure of this formula in the dataset is 26 meV/atom. Its formation energy (no corrections) is -1.315 eV/atom. The calculated density comes out at 4.50 g/cm³.


(6)
The following is a PBE-GGA calculation of a relaxed structure of Nd12Ga5S3, from Alexandria via LeMat-Bulk.

The space group is Ia-3d (No. 230) and the conventional cell measures 17.188, 17.188 and 17.188 Å, with angles of 90.00, 90.00 and 90.00 degrees. The distinct sites, in fractional coordinates, are Nd at (0.017, 0.071, 0.652), Ga at (0.000, 0.000, 0.000), Ga at (0.000, 0.250, 0.375) and S at (0.000, 0.250, 0.125).

Its total DFT energy (no corrections) is -4.567 eV per atom. Its formation energy (no corrections) is -0.331 eV/atom. The calculated density comes out at 5.69 g/cm³.


Look up the total DFT energy (no corrections) of the first one. -5.604 eV per atom


Which of these has the lowest formation energy (no corrections)? Nd5GaS4


Copy entry 2 word for word.
The following is a PBE-GGA calculation of a relaxed structure of Nd5GaS4, from Alexandria via LeMat-Bulk.

The space group is I4/m (No. 87) and the conventional cell measures 9.240, 9.240 and 5.812 Å, with angles of 90.00, 90.00 and 90.00 degrees. The distinct sites, in fractional coordinates, are Nd at (0.000, 0.000, 0.000), Nd at (0.101, 0.696, 0.500), Ga at (0.000, 0.000, 0.500) and S at (0.101, 0.699, 0.000).

Its total DFT energy (no corrections) is -6.088 eV per atom. Its formation energy (no corrections) is -1.751 eV/atom. The calculated density comes out at 6.15 g/cm³.